Density functional theory data (PBE) for an optimized crystal structure of K4HfNp3S8.

Values from the calculation:
**Formation energy (no corrections)**: -1.410 eV per atom
**ρ**: 5.30 g cm⁻³
**Raw total energy**: -6.7965 eV/atom
**V**: 408.2 Å³/cell

a b c (Å): 7.9887 8.7073 7.9886
angles (deg): 117.31 120.00 90.00
With the nearest neighbours (Å) after each atom.
Fractional positions:
K (0.0000, 0.0000, 0.0000)  6 S 3.16-3.17
K (0.0000, 0.0000, 0.5000)  6 S 3.16-3.17
K (0.5000, 0.0000, 0.5000)  6 S 3.16-3.17
K (0.5000, 0.0000, 0.0000)  6 S 3.30
S (0.2237, 0.6986, 0.4474)  1 Hf 2.63, 2 Np 2.79
S (0.7512, 0.6986, 0.9749)  1 Hf 2.63, 2 Np 2.79
S (0.7351, 0.7052, 0.4701)  3 Np 2.76
S (0.2237, 0.6986, 0.9749)  1 Hf 2.63, 2 Np 2.79
S (0.2488, 0.3014, 0.0251)  1 Hf 2.63, 2 Np 2.79
S (0.2649, 0.2948, 0.5299)  3 Np 2.76
S (0.7763, 0.3014, 0.5526)  1 Hf 2.63, 2 Np 2.79
S (0.7763, 0.3014, 0.0251)  1 Hf 2.63, 2 Np 2.79
Hf (0.0000, 0.5000, 0.0000)  6 S 2.63
Np (0.5000, 0.5000, 0.0000)  6 S 2.76-2.79
Np (0.0000, 0.5000, 0.5000)  6 S 2.76-2.79
Np (0.5000, 0.5000, 0.5000)  6 S 2.76-2.79

Density functional theory data (PBE) for an optimized crystal structure of Ba2GaRuS.

Values from the calculation:
**Formation energy (no corrections)**: 0.210 eV per atom
**ρ**: 5.25 g cm⁻³
**Raw total energy**: -3.8447 eV/atom
**V**: 151.0 Å³/cell

a b c (Å): 5.7586 4.5542 5.7586
angles (deg): 90.00 90.00 90.00
With the nearest neighbours (Å) after each atom.
Fractional positions:
Ga (0.0000, 0.5000, 0.0000)  2 S 2.28
Ba (0.5000, 0.0000, 0.0000)  2 S 2.88
Ba (0.0000, 0.0000, 0.5000)  2 S 2.88
Ru (0.5000, 0.5000, 0.5000)  8 Ba 3.67, 4 Ga 4.07
S (0.0000, 0.0000, 0.0000)  2 Ga 2.28

Density functional theory data (PBE) for an optimized crystal structure of Th6Tc2AuSe3.

Values from the calculation:
**Formation energy (no corrections)**: -0.914 eV per atom
**ρ**: 10.12 g cm⁻³
**Raw total energy**: -7.4953 eV/atom
**V**: 331.6 Å³/cell

a b c (Å): 7.1978 7.1978 7.7697
angles (deg): 98.87 98.87 119.99
With the nearest neighbours (Å) after each atom.
Fractional positions:
Au (0.0000, 0.0000, 0.0000)  6 Th 3.03
Tc (0.6669, 0.3331, 0.0000)  6 Th 2.84
Tc (0.3331, 0.6669, 0.0000)  6 Th 2.84
Th (0.4286, 0.0736, 0.2201)  2 Tc 2.84, 1 Au 3.03, 1 Se 3.08
Th (0.0736, 0.4286, 0.2201)  2 Tc 2.84, 1 Au 3.03, 1 Se 3.08
Th (0.5714, 0.9264, 0.7799)  2 Tc 2.84, 1 Au 3.03, 1 Se 3.08
Th (0.9264, 0.5714, 0.7799)  2 Tc 2.84, 1 Au 3.03, 1 Se 3.08
Th (0.2816, 0.2816, 0.7802)  2 Tc 2.84, 1 Au 3.03, 1 Se 3.05
Th (0.7184, 0.7184, 0.2198)  2 Tc 2.84, 1 Au 3.03, 1 Se 3.05
Se (0.8366, 0.1634, 0.5000)  6 Th 3.08-3.23
Se (0.5000, 0.5000, 0.5000)  6 Th 3.05-3.23
Se (0.1634, 0.8366, 0.5000)  6 Th 3.08-3.23

Density functional theory data (PBE) for an optimized crystal structure of CsPrAgF6.

Values from the calculation:
**Formation energy (no corrections)**: -2.752 eV per atom
**ρ**: 3.86 g cm⁻³
**Raw total energy**: -4.9426 eV/atom
**V**: 426.8 Å³/cell

a b c (Å): 8.6833 8.0864 8.4939
angles (deg): 118.43 120.74 90.00
With the nearest neighbours (Å) after each atom.
Fractional positions:
Ag (0.5000, 0.5000, 0.0000)  2 F 2.06
Ag (0.5000, 0.0000, 0.0000)  2 F 2.06
F (0.8216, 0.0716, 0.6433)  2 Pr 2.34
F (0.4607, 0.6692, 0.2819)  1 Pr 2.31, 1 Ag 2.33
F (0.8212, 0.6692, 0.2819)  1 Pr 2.31, 1 Ag 2.33
F (0.1788, 0.3308, 0.7181)  1 Pr 2.31, 1 Ag 2.33
F (0.5393, 0.3308, 0.7181)  1 Pr 2.31, 1 Ag 2.33
F (0.1788, 0.8873, 0.7181)  1 Pr 2.31, 1 Ag 2.33
F (0.8212, 0.1127, 0.2819)  1 Pr 2.31, 1 Ag 2.33
F (0.1784, 0.9284, 0.3567)  2 Pr 2.34
F (0.4607, 0.1127, 0.2819)  1 Pr 2.31, 1 Ag 2.33
F (0.5393, 0.8873, 0.7181)  1 Pr 2.31, 1 Ag 2.33
F (0.4677, 0.7177, 0.9354)  2 Ag 2.06
F (0.5323, 0.2823, 0.0646)  2 Ag 2.06
Pr (0.5000, 0.0000, 0.5000)  6 F 2.31-2.34
Pr (0.0000, 0.0000, 0.5000)  6 F 2.31-2.34
Cs (0.7872, 0.5372, 0.5743)  5 F 3.10-3.27
Cs (0.2128, 0.4628, 0.4257)  5 F 3.10-3.27

Density functional theory data (PBE) for an optimized crystal structure of TbAlPdRh.

Values from the calculation:
**ΔE_f**: -79.36 kJ per mole of atoms
**ρ**: 9.29 g cm⁻³
**Raw total energy**: -6.0518 eV/atom
**V**: 70.6 Å³/cell

a b c (Å): 4.6394 4.6394 4.6394
angles (deg): 60.00 60.00 60.00
With the nearest neighbours (Å) after each atom.
Fractional positions:
Rh (0.5000, 0.5000, 0.5000)  4 Tb 2.84, 4 Al 2.84
Pd (0.0000, 0.0000, 0.0000)  4 Al 2.84, 4 Tb 2.84
Tb (0.2500, 0.2500, 0.2500)  4 Pd 2.84, 4 Rh 2.84
Al (0.7500, 0.7500, 0.7500)  4 Rh 2.84, 4 Pd 2.84

Density functional theory data (PBE) for an optimized crystal structure of PPbSe2.

Values from the calculation:
**Formation energy (no corrections)**: 0.039 eV per atom
**Relative energy among the computed polymorphs**: 0.168 eV/atom
**ρ**: 6.71 g cm⁻³
**Raw total energy**: -3.9823 eV/atom
**V**: 98.0 Å³/cell

a b c (Å): 3.6280 4.2349 6.7043
angles (deg): 72.12 90.00 90.00
With the nearest neighbours (Å) after each atom.
Fractional positions:
Se (0.0000, 0.1170, 0.7288)  2 P 2.52
Se (0.0000, 0.8830, 0.2712)  2 P 2.52
Pb (0.5000, 0.5000, 0.0000)  8 Se 3.24-3.32, 2 P 3.37, 2 Pb 3.63
P (0.5000, 0.0000, 0.5000)  4 Se 2.52

Density functional theory data (PBE) for an optimized crystal structure of TlCo2Pt.

Values from the calculation:
**ΔE_f**: 28.91 kJ per mole of atoms
**Relative energy among the computed polymorphs**: 0.043 eV/atom
**ρ**: 14.06 g cm⁻³
**Raw total energy**: -5.3551 eV/atom
**V**: 61.1 Å³/cell

a b c (Å): 4.7004 4.7004 4.7091
angles (deg): 76.41 76.41 37.32
With the nearest neighbours (Å) after each atom.
Fractional positions:
Tl (0.2558, 0.2558, 0.2374)  7 Co 2.73-2.87, 3 Pt 2.76-2.88, 2 Tl 3.01
Co (0.7384, 0.7384, 0.7631)  2 Co 2.46, 3 Pt 2.67-2.71, 2 Tl 2.73
Co (0.0191, 0.0191, 0.9636)  2 Co 2.46, 2 Pt 2.59, 1 Tl 2.73
Pt (0.4867, 0.4867, 0.5359)  5 Co 2.59-2.71, 3 Tl 2.76-2.88

Density functional theory data (PBE) for an optimized crystal structure of TcMo3.

Values from the calculation:
**ΔE_f**: 28.46 kJ per mole of atoms
**Relative energy among the computed polymorphs**: 0.273 eV/atom
**ρ**: 10.23 g cm⁻³
**Raw total energy**: -10.4199 eV/atom
**V**: 250.5 Å³/cell

a b c (Å): 5.6075 5.6075 9.2002
angles (deg): 90.00 90.00 60.00
With the nearest neighbours (Å) after each atom.
Fractional positions:
Mo (0.5000, 0.0000, 0.0000)  4 Tc 2.80-2.81, 8 Mo 2.80-2.81
Mo (0.5000, 0.5000, 0.0000)  8 Mo 2.80-2.81, 4 Tc 2.80-2.81
Mo (0.1660, 0.6679, 0.2500)  8 Mo 2.79-2.81, 4 Tc 2.80-2.81
Mo (0.0000, 0.5000, 0.0000)  8 Mo 2.80-2.81, 4 Tc 2.80-2.81
Mo (0.5000, 0.5000, 0.5000)  8 Mo 2.80-2.81, 4 Tc 2.80-2.81
Mo (0.8340, 0.8340, 0.7500)  8 Mo 2.79-2.81, 4 Tc 2.80-2.81
Mo (0.5000, 0.0000, 0.5000)  4 Tc 2.80-2.81, 8 Mo 2.80-2.81
Mo (0.8340, 0.3321, 0.7500)  8 Mo 2.79-2.81, 4 Tc 2.80-2.81
Mo (0.3321, 0.8340, 0.7500)  8 Mo 2.79-2.81, 4 Tc 2.80-2.81
Mo (0.6679, 0.1660, 0.2500)  8 Mo 2.79-2.81, 4 Tc 2.80-2.81
Mo (0.1660, 0.1660, 0.2500)  8 Mo 2.79-2.81, 4 Tc 2.80-2.81
Mo (0.0000, 0.5000, 0.5000)  8 Mo 2.80-2.81, 4 Tc 2.80-2.81
Tc (0.6667, 0.6667, 0.2500)  12 Mo 2.80-2.81
Tc (0.0000, 0.0000, 0.0000)  12 Mo 2.80-2.81
Tc (0.3333, 0.3333, 0.7500)  12 Mo 2.80-2.81
Tc (0.0000, 0.0000, 0.5000)  12 Mo 2.80-2.81

Repeat the sixth record exactly.
Density functional theory data (PBE) for an optimized crystal structure of PPbSe2.

Values from the calculation:
**Formation energy (no corrections)**: 0.039 eV per atom
**Relative energy among the computed polymorphs**: 0.168 eV/atom
**ρ**: 6.71 g cm⁻³
**Raw total energy**: -3.9823 eV/atom
**V**: 98.0 Å³/cell

a b c (Å): 3.6280 4.2349 6.7043
angles (deg): 72.12 90.00 90.00
With the nearest neighbours (Å) after each atom.
Fractional positions:
Se (0.0000, 0.1170, 0.7288)  2 P 2.52
Se (0.0000, 0.8830, 0.2712)  2 P 2.52
Pb (0.5000, 0.5000, 0.0000)  8 Se 3.24-3.32, 2 P 3.37, 2 Pb 3.63
P (0.5000, 0.0000, 0.5000)  4 Se 2.52